Density functional theory data (PBEsol) for a geometry-optimized Bi3O2F5 structure.

```
Bi3O2F5
1.0
-0.194 -5.105 -2.924
-1.419 -3.910 6.921
-11.728 3.478 -5.295
Bi F O
12 20 8
direct
0.020 0.750 0.500
0.978 0.922 0.857
0.532 0.418 0.291
0.980 0.250 0.500
0.022 0.422 0.857
0.468 0.582 0.709
0.432 0.750 0.000
0.568 0.250 0.000
0.022 0.078 0.143
0.978 0.578 0.143
0.532 0.082 0.709
0.468 0.918 0.291
0.284 0.765 0.635
0.798 0.951 0.450
0.716 0.265 0.635
0.550 0.870 0.796
0.450 0.130 0.204
0.450 0.370 0.796
0.841 0.911 0.652
0.550 0.630 0.204
0.202 0.451 0.450
0.202 0.049 0.550
0.227 0.134 0.836
0.159 0.089 0.348
0.841 0.589 0.348
0.159 0.411 0.652
0.773 0.634 0.836
0.716 0.235 0.365
0.227 0.366 0.164
0.284 0.735 0.365
0.773 0.866 0.164
0.798 0.549 0.550
0.762 0.333 0.156
0.221 0.520 0.003
0.221 0.980 0.997
0.779 0.020 0.003
0.762 0.167 0.844
0.238 0.833 0.156
0.238 0.667 0.844
0.779 0.480 0.997
```

Calculated values
**Energy relative to the elements, uncorrected**: -2.087 eV per atom
**Space-group type**: P2/c (13)
**Energy above the most stable polymorph in this dataset**: 0.335 eV/f.u.
**Fermi-level density of states**: 0.000 states/eV/atom
**Total moment**: 0.000 μB per atom

***

Density functional theory data (PBEsol) for a geometry-optimized CaZn2Fe structure.

```
CaZn2Fe
1.0
2.898 0.000 0.023
0.000 3.480 0.000
-0.051 0.000 6.560
Zn Fe Ca
2 1 1
direct
0.000 0.000 0.690
0.000 0.000 0.310
0.500 0.500 0.500
0.500 0.500 0.000
```

Calculated values
**Space-group type**: Pmmm (47)
**Fermi-level density of states**: 0.839 states/eV/atom
**Total moment**: 0.541 μB per atom
**Electronic total energy**: -13.96 eV per cell